Compound: BaBeIr2
Source: the Alexandria database
Functional: PBE
Structure: relaxed

Unit cell a=4.281 b=4.291 c=7.722 alpha=90.00 beta=90.00 gamma=90.00
Space group Cmmm (No. 65)
Unique sites:
Ba 0.000 0.000 0.000 [2 per cell]
Be 0.000 0.000 0.500 [2 per cell]
Ir 0.000 0.500 0.333 [4 per cell]

Summary:
* formation enthalpy at 0 K: 280 meV/atom
* volume: 17.73 Å³/atom